PBE Ce3Si, relaxed; excess energy over the best structure of this formula in the dataset = 0.0 meV per atom; density = 7.813 Mg/m³; energy relative to the elements, uncorrected = -0.3470 eV/atom; symmetry = Pm-3m, No. 221; spin magnetization = 2.12 Bohr magnetons per cell; crystal system = cubic
1.0
-3.9899 -2.1621 -0.5270
0.7523 -2.3283 3.8569
-2.0939 3.2816 2.3894
Si Ce
1 3
Direct
0.5000 0.0000 0.5835
0.0000 0.0000 0.0833
0.0000 0.5000 0.5831
0.5000 0.5000 0.0834